VASP calculation (PBE) on a relaxed LiCuNi2 crystal.

The formation energy is 32 meV/atom. The value obtained for the size of the total moment is 0.556 μB/f.u.

The structure belongs to space group I-4m2 (No. 119); the cell edges are 3.6303, 3.6303 and 6.8169 Å and the angles 90.00°, 90.00° and 90.00°. The asymmetric unit holds Li at (0.0000, 0.0000, 0.0000), Cu at (0.0000, 0.5000, 0.2500), Ni at (0.0000, 0.0000, 0.5000) and Ni at (0.0000, 0.5000, 0.7500).



VASP calculation (PBE) on a relaxed LuCdTe2 crystal.

The uncorrected formation energy is -271 kJ/mol of formula units. The value obtained for the size of the total moment is 0.000 μB/f.u.

The structure belongs to space group R-3m (No. 166, hexagonal axes); the cell edges are 4.3327, 4.3327 and 27.5934 Å and the angles 90.00°, 90.00° and 120.00°. The asymmetric unit holds Lu at (0.0000, 0.0000, 0.0000), Cd at (0.0000, 0.0000, 0.5000) and Te at (0.0000, 0.0000, 0.3945).



VASP calculation (PBE) on a relaxed MgTcOs crystal.

The formation energy is 146 meV/atom. As for the excess energy over the best structure of this formula in the dataset: 0.089 eV per atom. The value obtained for the size of the total moment is 0.000 μB/f.u.

The structure belongs to space group P3m1 (No. 156); the cell edges are 2.8071, 2.8071 and 6.8620 Å and the angles 90.00°, 90.00° and 120.00°. The asymmetric unit holds Mg at (0.0000, 0.0000, 0.0000), Tc at (0.6667, 0.3333, 0.6442) and Os at (0.3333, 0.6667, 0.3481).



VASP calculation (PBE) on a relaxed La8Pr5Pu crystal.

The formation energy is 159 meV/atom. The value obtained for the size of the total moment is 6.482 μB/f.u.

The structure belongs to space group C2 (No. 5); the cell edges are 15.6791, 8.7318 and 8.9960 Å and the angles 90.00°, 124.23° and 90.00°. The asymmetric unit holds La at (0.1178, 0.0000, 0.1961), La at (0.1614, 0.5984, 0.1986), La at (0.1752, 0.2842, 0.9213), La at (0.2014, 0.7759, 0.5790), Pr at (0.0000, 0.0435, 0.5000), Pr at (0.0525, 0.7074, 0.7613), Pr at (0.1007, 0.3802, 0.4664) and Pu at (0.0000, 0.3430, 0.0000).